Record 1
# YTa2Zn

YTa2Zn at its PBEsol-relaxed geometry (meta-GGA SCAN, the Alexandria database).

Values from the calculation:
Raw total energy   -3.200 Ry per atom

a b c (Å): 3.047 3.672 6.892
angles (deg): 90.00 90.00 90.00
Space group Pmm2 (No. 25)
Unique sites:
Y 0.000 0.000 0.000 [1 per cell]
Ta 0.000 0.000 0.486 [1 per cell]
Ta 0.500 0.500 0.707 [1 per cell]
Zn 0.500 0.500 0.278 [1 per cell]

***

Record 2
# CaLaCd2

CaLaCd2 at its PBEsol-relaxed geometry (meta-GGA SCAN, the Alexandria database).

Values from the calculation:
Raw total energy   -2.103 Ry per atom

a b c (Å): 7.454 7.454 7.454
angles (deg): 90.00 90.00 90.00
Space group F-43m (No. 216)
Unique sites:
Ca 0.000 0.000 0.000 [4 per cell]
La 0.250 0.250 0.750 [4 per cell]
Cd 0.000 0.000 0.500 [4 per cell]
Cd 0.250 0.250 0.250 [4 per cell]

***

Record 3
# Sc2Cr2Cu

Sc2Cr2Cu at its PBEsol-relaxed geometry (meta-GGA SCAN, the Alexandria database).

Values from the calculation:
Raw total energy   -1.103 Ry per atom

a b c (Å): 3.827 3.827 11.834
angles (deg): 90.00 90.00 90.00
Space group I4/mmm (No. 139)
Unique sites:
Sc 0.000 0.500 0.250 [4 per cell]
Cr 0.000 0.000 0.075 [4 per cell]
Cu 0.000 0.000 0.500 [2 per cell]

***

Record 4
# AlFe2Co

AlFe2Co at its PBEsol-relaxed geometry (meta-GGA SCAN, the Alexandria database).

Values from the calculation:
Raw total energy   -1.144 Ry per atom

a b c (Å): 3.497 3.497 7.399
angles (deg): 90.00 90.00 90.00
Space group I4/mmm (No. 139)
Unique sites:
Al 0.000 0.000 0.000 [2 per cell]
Fe 0.000 0.500 0.250 [4 per cell]
Co 0.000 0.000 0.500 [2 per cell]

***

Record 5
# SbAs2WO

SbAs2WO at its PBEsol-relaxed geometry (meta-GGA SCAN, the Alexandria database).

Values from the calculation:
Formation energy without anion corrections   -0.25 eV per atom

a b c (Å): 5.040 5.040 3.752
angles (deg): 90.00 90.00 90.00
Space group P4/mmm (No. 123)
Unique sites:
Sb 0.000 0.000 0.000 [1 per cell]
As 0.000 0.500 0.500 [2 per cell]
W 0.500 0.500 0.500 [1 per cell]
O 0.500 0.500 0.000 [1 per cell]

***

Record 6
# Pt4W5

Pt4W5 at its PBEsol-relaxed geometry (meta-GGA SCAN, the Alexandria database).

Values from the calculation:
Raw total energy   -5.152 Ry per atom

a b c (Å): 8.385 8.385 3.899
angles (deg): 90.00 90.00 90.00
Space group I4/mmm (No. 139)
Unique sites:
Pt 0.000 0.326 0.000 [8 per cell]
W 0.000 0.000 0.000 [2 per cell]
W 0.170 0.170 0.500 [8 per cell]

***

Record 7
# LaMnAu3

LaMnAu3 at its PBEsol-relaxed geometry (meta-GGA SCAN, the Alexandria database).

Values from the calculation:
Raw total energy   -3.983 Ry per atom

a b c (Å): 4.860 4.860 4.860
angles (deg): 90.00 90.00 90.00
Space group Pm-3m (No. 221)
Unique sites:
La 0.000 0.000 0.000 [1 per cell]
Mn 0.500 0.500 0.500 [1 per cell]
Au 0.000 0.500 0.500 [3 per cell]

***

Record 8
# BeCu3

BeCu3 at its PBEsol-relaxed geometry (meta-GGA SCAN, the Alexandria database).

Values from the calculation:
Raw total energy   -0.923 Ry per atom

a b c (Å): 3.995 4.911 4.276
angles (deg): 90.00 90.00 90.00
Space group Pmmn (No. 59, origin choice 2)
Unique sites:
Be 0.250 0.250 0.170 [2 per cell]
Cu 0.250 0.000 0.669 [4 per cell]
Cu 0.250 0.750 0.158 [2 per cell]

***

Record 9
# BaCaLa

BaCaLa at its PBEsol-relaxed geometry (meta-GGA SCAN, the Alexandria database).

Values from the calculation:
Raw total energy   -2.251 Ry per atom

a b c (Å): 3.869 3.869 16.984
angles (deg): 90.00 90.00 90.00
Space group I4mm (No. 107)
Unique sites:
Ba 0.000 0.000 0.000 [2 per cell]
Ca 0.000 0.000 0.682 [2 per cell]
La 0.000 0.000 0.334 [2 per cell]

***

Record 10
# BaCa2As

BaCa2As at its PBEsol-relaxed geometry (meta-GGA SCAN, the Alexandria database).

Values from the calculation:
Raw total energy   -1.503 Ry per atom

a b c (Å): 12.185 4.005 7.117
angles (deg): 90.00 117.34 90.00
Space group Cm (No. 8)
Unique sites:
Ba 0.000 0.000 0.000 [2 per cell]
Ca 0.170 0.000 0.686 [2 per cell]
Ca 0.347 0.000 0.342 [2 per cell]
As 0.227 0.500 0.012 [2 per cell]

***

Record 11
# InCuReGe2

InCuReGe2 at its PBEsol-relaxed geometry (meta-GGA SCAN, the Alexandria database).

Values from the calculation:
Raw total energy   -2.227 Ry per atom

a b c (Å): 4.439 4.439 4.943
angles (deg): 90.00 90.00 90.00
Space group P4/mmm (No. 123)
Unique sites:
In 0.000 0.000 0.000 [1 per cell]
Cu 0.000 0.000 0.500 [1 per cell]
Re 0.500 0.500 0.000 [1 per cell]
Ge 0.000 0.500 0.500 [2 per cell]

***

Record 12
# Si2AsCl

Si2AsCl at its PBEsol-relaxed geometry (meta-GGA SCAN, the Alexandria database).

Values from the calculation:
Formation energy without anion corrections   0.29 eV per atom

a b c (Å): 3.558 5.327 8.115
angles (deg): 90.00 90.00 90.00
Space group Cmm2 (No. 35)
Unique sites:
Si 0.000 0.000 0.000 [2 per cell]
Si 0.000 0.500 0.208 [2 per cell]
As 0.000 0.500 0.800 [2 per cell]
Cl 0.000 0.000 0.423 [2 per cell]

***

Record 13
# Sr8Fe7CoO24

Sr8Fe7CoO24 at its PBEsol-relaxed geometry (meta-GGA SCAN, the Alexandria database).

Values from the calculation:
Formation energy without anion corrections   -2.28 eV per atom

a b c (Å): 7.576 7.576 7.576
angles (deg): 90.00 90.00 90.00
Space group Pm-3m (No. 221)
Unique sites:
Sr 0.249 0.249 0.249 [8 per cell]
Fe 0.000 0.000 0.500 [3 per cell]
Fe 0.000 0.500 0.500 [3 per cell]
Fe 0.500 0.500 0.500 [1 per cell]
Co 0.000 0.000 0.000 [1 per cell]
O 0.000 0.000 0.252 [6 per cell]
O 0.000 0.251 0.500 [12 per cell]
O 0.250 0.500 0.500 [6 per cell]

***

Record 14
# GaFeNO2

GaFeNO2 at its PBEsol-relaxed geometry (meta-GGA SCAN, the Alexandria database).

Values from the calculation:
Formation energy without anion corrections   -0.04 eV per atom

a b c (Å): 3.766 3.766 3.797
angles (deg): 90.00 90.00 90.00
Space group P4/mmm (No. 123)
Unique sites:
Ga 0.000 0.000 0.000 [1 per cell]
Fe 0.500 0.500 0.500 [1 per cell]
N 0.000 0.000 0.500 [1 per cell]
O 0.000 0.500 0.000 [2 per cell]

***

Record 15
# Cs2KAuF6

Cs2KAuF6 at its PBEsol-relaxed geometry (meta-GGA SCAN, the Alexandria database).

Values from the calculation:
Formation energy without anion corrections   -2.29 eV per atom

a b c (Å): 9.230 9.230 9.230
angles (deg): 90.00 90.00 90.00
Space group Fm-3m (No. 225)
Unique sites:
Cs 0.250 0.250 0.250 [8 per cell]
K 0.000 0.000 0.000 [4 per cell]
Au 0.000 0.000 0.500 [4 per cell]
F 0.000 0.000 0.271 [24 per cell]

***

Record 16
# LiMn8O16

LiMn8O16 at its PBEsol-relaxed geometry (meta-GGA SCAN, the Alexandria database).

Values from the calculation:
Formation energy without anion corrections   -2.12 eV per atom

a b c (Å): 5.675 5.675 8.019
angles (deg): 90.00 90.00 90.00
Space group P-4m2 (No. 115)
Unique sites:
Li 0.000 0.000 0.000 [1 per cell]
Mn 0.000 0.251 0.623 [4 per cell]
Mn 0.253 0.500 0.874 [4 per cell]
O 0.000 0.222 0.389 [4 per cell]
O 0.000 0.276 0.862 [4 per cell]
O 0.222 0.500 0.639 [4 per cell]
O 0.278 0.500 0.111 [4 per cell]

***

Record 17
# TmCuS2

TmCuS2 at its PBEsol-relaxed geometry (meta-GGA SCAN, the Alexandria database).

Values from the calculation:
Formation energy without anion corrections   -1.57 eV per atom

a b c (Å): 13.063 3.852 6.128
angles (deg): 90.00 90.00 90.00
Space group Pnma (No. 62)
Unique sites:
Tm 0.132 0.250 0.005 [4 per cell]
Cu 0.043 0.750 0.371 [4 per cell]
S 0.042 0.750 0.753 [4 per cell]
S 0.206 0.750 0.242 [4 per cell]

***

Record 18
# V2P2O7

V2P2O7 at its PBEsol-relaxed geometry (meta-GGA SCAN, the Alexandria database).

Values from the calculation:
Formation energy without anion corrections   -2.48 eV per atom

a b c (Å): 6.524 8.433 4.450
angles (deg): 90.00 100.93 90.00
Space group C2/m (No. 12)
Unique sites:
V 0.000 0.187 0.000 [4 per cell]
P 0.221 0.500 0.409 [4 per cell]
O 0.000 0.500 0.500 [2 per cell]
O 0.126 0.000 0.282 [4 per cell]
O 0.233 0.348 0.225 [8 per cell]

***

Record 19
# HfMnAs2Pd

HfMnAs2Pd at its PBEsol-relaxed geometry (meta-GGA SCAN, the Alexandria database).

Values from the calculation:
Raw total energy   -2.249 Ry per atom

a b c (Å): 4.457 4.457 4.641
angles (deg): 90.00 90.00 90.00
Space group P4/mmm (No. 123)
Unique sites:
Hf 0.000 0.000 0.000 [1 per cell]
Mn 0.500 0.500 0.500 [1 per cell]
As 0.000 0.500 0.500 [2 per cell]
Pd 0.500 0.500 0.000 [1 per cell]

***

Record 20
# LaCu2Re

LaCu2Re at its PBEsol-relaxed geometry (meta-GGA SCAN, the Alexandria database).

Values from the calculation:
Raw total energy   -2.616 Ry per atom

a b c (Å): 2.798 4.906 9.590
angles (deg): 90.00 90.00 90.00
Space group Imm2 (No. 44)
Unique sites:
La 0.000 0.000 0.000 [2 per cell]
Cu 0.000 0.000 0.516 [2 per cell]
Cu 0.000 0.500 0.228 [2 per cell]
Re 0.000 0.500 0.782 [2 per cell]

***

Record 21
# CaY2Mo

CaY2Mo at its PBEsol-relaxed geometry (meta-GGA SCAN, the Alexandria database).

Values from the calculation:
Raw total energy   -1.793 Ry per atom

a b c (Å): 6.735 8.890 3.337
angles (deg): 90.00 90.00 90.00
Space group Cmmm (No. 65)
Unique sites:
Ca 0.000 0.000 0.000 [2 per cell]
Y 0.250 0.250 0.500 [4 per cell]
Mo 0.000 0.500 0.000 [2 per cell]

***

Record 22
# Y4AsSe3

Y4AsSe3 at its PBEsol-relaxed geometry (meta-GGA SCAN, the Alexandria database).

Values from the calculation:
Formation energy without anion corrections   -1.98 eV per atom

a b c (Å): 5.701 5.701 11.415
angles (deg): 90.00 90.00 90.00
Space group I4/mmm (No. 139)
Unique sites:
Y 0.000 0.000 0.244 [4 per cell]
Y 0.000 0.500 0.000 [4 per cell]
As 0.000 0.000 0.000 [2 per cell]
Se 0.000 0.000 0.500 [2 per cell]
Se 0.000 0.500 0.250 [4 per cell]

***

Record 23
# TaGe3P

TaGe3P at its PBEsol-relaxed geometry (meta-GGA SCAN, the Alexandria database).

Values from the calculation:
Raw total energy   -1.885 Ry per atom

a b c (Å): 4.559 4.559 4.559
angles (deg): 90.00 90.00 90.00
Space group Pm-3m (No. 221)
Unique sites:
Ta 0.000 0.000 0.000 [1 per cell]
Ge 0.000 0.500 0.500 [3 per cell]
P 0.500 0.500 0.500 [1 per cell]

***

Record 24
# SiMoPt

SiMoPt at its PBEsol-relaxed geometry (meta-GGA SCAN, the Alexandria database).

Values from the calculation:
Formation energy without anion corrections   -0.33 eV per atom

a b c (Å): 2.717 3.218 9.705
angles (deg): 90.00 90.00 90.00
Space group Imm2 (No. 44)
Unique sites:
Si 0.000 0.000 0.000 [2 per cell]
Mo 0.000 0.000 0.654 [2 per cell]
Pt 0.000 0.000 0.354 [2 per cell]

***

Record 25
# Y2ScHg

Y2ScHg at its PBEsol-relaxed geometry (meta-GGA SCAN, the Alexandria database).

Values from the calculation:
Raw total energy   -2.561 Ry per atom

a b c (Å): 3.779 5.026 10.745
angles (deg): 90.00 90.00 90.00
Space group Immm (No. 71)
Unique sites:
Y 0.000 0.000 0.223 [4 per cell]
Sc 0.000 0.500 0.000 [2 per cell]
Hg 0.000 0.500 0.500 [2 per cell]